The following is a DFT calculation (PBE) of an optimized crystal structure of Ho2ErTlC.

extended XYZ file:
```
5
Lattice="4.894 0.000 0.000 0.000 4.894 0.000 0.000 0.000 4.868" Properties=species:S:1:pos:R:3 pbc="T T T"
Ho 0.000 2.447 0.000
Ho 2.447 0.000 0.000
Er 0.000 0.000 2.434
Tl 2.447 2.447 2.434
C 0.000 0.000 0.000
```

theoretical density = 10.2 g/cm3
DFT total energy = -5.54 eV per atom
formation enthalpy at 0 K = -0.48 eV per atom
density of states at the Fermi level = 0.179 states/eV/atom
magnetic moment = 0.000 μB/atom